#one
A relaxed BaNi3W crystal. Source: Alexandria via LeMat-Bulk, functional GGA-PBE. Values from VASP.

Quantum ESPRESSO input file:
```
&SYSTEM
  ibrav = 0, nat = 5, ntyp = 3
/
ATOMIC_SPECIES
Ni 58.69 Ni.upf
Ba 137.33 Ba.upf
W 183.84 W.upf
CELL_PARAMETERS angstrom
4.739 0.000 0.000
0.000 4.739 0.000
0.000 0.000 4.739
ATOMIC_POSITIONS crystal
Ni 0.000 0.500 0.000
Ni 0.000 0.000 0.500
Ni 0.500 0.000 0.000
Ba 0.500 0.500 0.500
W 0.000 0.000 0.000
```

Values from the calculation:
N(E_F): 5.73 states/eV/cell
M_tot: 0.00 μB/cell

#two
A relaxed BaNi3W crystal. Source: Alexandria via LeMat-Bulk, functional GGA-PBE. Values from VASP.

Quantum ESPRESSO input file:
```
&SYSTEM
  ibrav = 0, nat = 5, ntyp = 3
/
ATOMIC_SPECIES
Ni 58.69 Ni.upf
Ba 137.33 Ba.upf
W 183.84 W.upf
CELL_PARAMETERS angstrom
4.696 0.000 0.000
0.000 4.696 0.000
0.000 0.000 4.696
ATOMIC_POSITIONS crystal
Ni 0.000 0.500 0.000
Ni 0.000 0.000 0.500
Ni 0.500 0.000 0.000
Ba 0.000 0.000 0.000
W 0.500 0.500 0.500
```

Values from the calculation:
N(E_F): 9.11 states/eV/cell
M_tot: 0.00 μB/cell

Which of them is the most stable? Correct choice: #one.

#one
A relaxed BaYNi2 crystal. Source: Alexandria via LeMat-Bulk, functional GGA-PBE. Values from VASP.

Quantum ESPRESSO input file:
```
&SYSTEM
  ibrav = 0, nat = 4, ntyp = 3
/
ATOMIC_SPECIES
Ba 137.33 Ba.upf
Ni 58.69 Ni.upf
Y 88.91 Y.upf
CELL_PARAMETERS angstrom
-2.794 -1.182 -1.649
1.701 -2.893 -0.812
-2.625 -3.493 6.949
ATOMIC_POSITIONS crystal
Ba 0.500 0.500 0.823
Ni 0.000 0.000 0.090
Ni 0.500 0.500 0.197
Y 0.000 0.000 0.391
```

Values from the calculation:
N(E_F): 4.24 states/eV/cell
M_tot: 0.00 μB/cell

#two
A relaxed BaYNi2 crystal. Source: Alexandria via LeMat-Bulk, functional GGA-PBE. Values from VASP.

Quantum ESPRESSO input file:
```
&SYSTEM
  ibrav = 0, nat = 4, ntyp = 3
/
ATOMIC_SPECIES
Ba 137.33 Ba.upf
Ni 58.69 Ni.upf
Y 88.91 Y.upf
CELL_PARAMETERS angstrom
-1.269 2.595 2.994
-3.950 -0.680 -1.084
-0.264 -4.502 3.790
ATOMIC_POSITIONS crystal
Ba 0.500 0.500 0.875
Ni 0.000 0.000 0.874
Ni 0.500 0.500 0.375
Y 0.000 0.000 0.376
```

Values from the calculation:
N(E_F): 1.86 states/eV/cell
M_tot: 0.00 μB/cell

#three
A relaxed BaYNi2 crystal. Source: Alexandria via LeMat-Bulk, functional GGA-PBE. Values from VASP.

Quantum ESPRESSO input file:
```
&SYSTEM
  ibrav = 0, nat = 4, ntyp = 3
/
ATOMIC_SPECIES
Ba 137.33 Ba.upf
Ni 58.69 Ni.upf
Y 88.91 Y.upf
CELL_PARAMETERS angstrom
6.309 -0.523 -0.320
5.000 3.883 -0.320
5.000 1.486 3.602
ATOMIC_POSITIONS crystal
Ba 0.750 0.750 0.750
Ni 0.951 0.951 0.951
Ni 0.549 0.549 0.549
Y 0.250 0.250 0.250
```

Values from the calculation:
N(E_F): 2.67 states/eV/cell
M_tot: 0.00 μB/cell

Which of them is the most stable? Correct choice: #three.

#one
A relaxed BaYNi2 crystal. Source: Alexandria via LeMat-Bulk, functional GGA-PBE. Values from VASP.

Quantum ESPRESSO input file:
```
&SYSTEM
  ibrav = 0, nat = 4, ntyp = 3
/
ATOMIC_SPECIES
Ba 137.33 Ba.upf
Ni 58.69 Ni.upf
Y 88.91 Y.upf
CELL_PARAMETERS angstrom
4.892 0.000 0.000
2.446 4.237 0.000
2.446 1.412 3.994
ATOMIC_POSITIONS crystal
Ba 0.500 0.500 0.500
Ni 0.000 0.000 0.000
Ni 0.250 0.250 0.250
Y 0.750 0.750 0.750
```

Values from the calculation:
N(E_F): 4.12 states/eV/cell
M_tot: 0.00 μB/cell

#two
A relaxed BaYNi2 crystal. Source: Alexandria via LeMat-Bulk, functional GGA-PBE. Values from VASP.

Quantum ESPRESSO input file:
```
&SYSTEM
  ibrav = 0, nat = 4, ntyp = 3
/
ATOMIC_SPECIES
Ba 137.33 Ba.upf
Ni 58.69 Ni.upf
Y 88.91 Y.upf
CELL_PARAMETERS angstrom
7.380 0.038 -0.021
5.238 5.198 0.021
-6.254 -2.751 2.790
ATOMIC_POSITIONS crystal
Ba 0.228 0.728 0.500
Ni 0.945 0.945 0.000
Ni 0.845 0.345 0.500
Y 0.482 0.482 0.000
```

Values from the calculation:
N(E_F): 2.76 states/eV/cell
M_tot: 0.00 μB/cell

#three
A relaxed BaYNi2 crystal. Source: Alexandria via LeMat-Bulk, functional GGA-PBE. Values from VASP.

Quantum ESPRESSO input file:
```
&SYSTEM
  ibrav = 0, nat = 8, ntyp = 3
/
ATOMIC_SPECIES
Y 88.91 Y.upf
Ni 58.69 Ni.upf
Ba 137.33 Ba.upf
CELL_PARAMETERS angstrom
-1.818 -5.117 -5.383
7.067 -2.896 0.366
1.581 -6.240 -0.033
ATOMIC_POSITIONS crystal
Y 0.500 0.500 0.000
Y 0.250 0.750 0.500
Ni 0.591 0.125 0.250
Ni 0.159 0.625 0.250
Ni 0.375 0.409 0.750
Ni 0.875 0.841 0.750
Ba 0.000 0.000 0.000
Ba 0.750 0.250 0.500
```

Values from the calculation:
N(E_F): 6.45 states/eV/cell
M_tot: 0.00 μB/cell

#four
A relaxed BaYNi2 crystal. Source: Alexandria via LeMat-Bulk, functional GGA-PBE. Values from VASP.

Quantum ESPRESSO input file:
```
&SYSTEM
  ibrav = 0, nat = 4, ntyp = 3
/
ATOMIC_SPECIES
Ba 137.33 Ba.upf
Ni 58.69 Ni.upf
Y 88.91 Y.upf
CELL_PARAMETERS angstrom
-1.756 -1.299 -6.264
-1.551 -4.828 -4.278
-3.900 0.348 1.021
ATOMIC_POSITIONS crystal
Ba 0.223 0.223 0.125
Ni 0.943 0.943 0.125
Ni 0.845 0.845 0.625
Y 0.489 0.489 0.625
```

Values from the calculation:
N(E_F): 3.90 states/eV/cell
M_tot: 0.00 μB/cell

Which of them is the most stable? Correct choice: #four.

#one
A relaxed BaYNi2 crystal. Source: Alexandria via LeMat-Bulk, functional GGA-PBE. Values from VASP.

Quantum ESPRESSO input file:
```
&SYSTEM
  ibrav = 0, nat = 4, ntyp = 3
/
ATOMIC_SPECIES
Ba 137.33 Ba.upf
Ni 58.69 Ni.upf
Y 88.91 Y.upf
CELL_PARAMETERS angstrom
5.088 -0.006 -0.011
0.005 5.088 -0.011
0.010 0.010 3.509
ATOMIC_POSITIONS crystal
Ba 0.000 0.500 0.500
Ni 0.000 0.000 0.000
Ni 0.500 0.500 0.000
Y 0.500 0.000 0.500
```

Values from the calculation:
N(E_F): 1.80 states/eV/cell
M_tot: 0.00 μB/cell

#two
A relaxed BaYNi2 crystal. Source: Alexandria via LeMat-Bulk, functional GGA-PBE. Values from VASP.

Quantum ESPRESSO input file:
```
&SYSTEM
  ibrav = 0, nat = 4, ntyp = 3
/
ATOMIC_SPECIES
Ba 137.33 Ba.upf
Ni 58.69 Ni.upf
Y 88.91 Y.upf
CELL_PARAMETERS angstrom
5.092 0.394 0.292
3.187 3.991 0.292
3.200 1.695 6.113
ATOMIC_POSITIONS crystal
Ba 0.250 0.250 0.250
Ni 0.015 0.015 0.822
Ni 0.485 0.485 0.678
Y 0.750 0.750 0.750
```

Values from the calculation:
N(E_F): 3.84 states/eV/cell
M_tot: 0.00 μB/cell

Which of them is the most stable? Correct choice: #two.

#one
A relaxed BaYNi2 crystal. Source: Alexandria via LeMat-Bulk, functional GGA-PBE. Values from VASP.

Quantum ESPRESSO input file:
```
&SYSTEM
  ibrav = 0, nat = 4, ntyp = 3
/
ATOMIC_SPECIES
Ba 137.33 Ba.upf
Ni 58.69 Ni.upf
Y 88.91 Y.upf
CELL_PARAMETERS angstrom
-2.158 2.860 0.053
-2.442 -1.877 1.830
3.017 2.161 6.244
ATOMIC_POSITIONS crystal
Ba 0.500 0.500 0.750
Ni 0.000 0.000 0.066
Ni 0.000 0.000 0.434
Y 0.500 0.500 0.250
```

Values from the calculation:
N(E_F): 2.30 states/eV/cell
M_tot: 0.00 μB/cell

#two
A relaxed BaYNi2 crystal. Source: Alexandria via LeMat-Bulk, functional GGA-PBE. Values from VASP.

Quantum ESPRESSO input file:
```
&SYSTEM
  ibrav = 0, nat = 4, ntyp = 3
/
ATOMIC_SPECIES
Ba 137.33 Ba.upf
Ni 58.69 Ni.upf
Y 88.91 Y.upf
CELL_PARAMETERS angstrom
-1.981 -3.000 -4.958
-3.171 -5.231 0.290
0.088 5.628 2.413
ATOMIC_POSITIONS crystal
Ba 0.750 0.250 0.500
Ni 0.000 0.000 0.000
Ni 0.250 0.750 0.500
Y 0.500 0.500 0.000
```

Values from the calculation:
N(E_F): 2.56 states/eV/cell
M_tot: 0.00 μB/cell

#three
A relaxed BaYNi2 crystal. Source: Alexandria via LeMat-Bulk, functional GGA-PBE. Values from VASP.

Quantum ESPRESSO input file:
```
&SYSTEM
  ibrav = 0, nat = 4, ntyp = 3
/
ATOMIC_SPECIES
Y 88.91 Y.upf
Ni 58.69 Ni.upf
Ba 137.33 Ba.upf
CELL_PARAMETERS angstrom
-0.191 2.901 4.138
-0.049 5.037 -0.444
-4.206 2.593 1.079
ATOMIC_POSITIONS crystal
Y 0.000 0.000 0.000
Ni 0.250 0.250 0.250
Ni 0.750 0.750 0.750
Ba 0.500 0.500 0.500
```

Values from the calculation:
N(E_F): 2.86 states/eV/cell
M_tot: 0.00 μB/cell

Which of them is the most stable? Correct choice: #one.

#one
A relaxed BaY2Ni crystal. Source: Alexandria via LeMat-Bulk, functional GGA-PBE. Values from VASP.

Quantum ESPRESSO input file:
```
&SYSTEM
  ibrav = 0, nat = 4, ntyp = 3
/
ATOMIC_SPECIES
Ba 137.33 Ba.upf
Ni 58.69 Ni.upf
Y 88.91 Y.upf
CELL_PARAMETERS angstrom
-3.148 -2.910 -3.028
4.183 -1.834 -2.585
0.293 -3.093 2.668
ATOMIC_POSITIONS crystal
Ba 0.500 0.000 0.500
Ni 0.000 0.500 0.500
Y 0.000 0.000 0.000
Y 0.500 0.500 0.000
```

Values from the calculation:
N(E_F): 4.16 states/eV/cell
M_tot: 0.00 μB/cell

#two
A relaxed BaY2Ni crystal. Source: Alexandria via LeMat-Bulk, functional GGA-PBE. Values from VASP.

Quantum ESPRESSO input file:
```
&SYSTEM
  ibrav = 0, nat = 4, ntyp = 3
/
ATOMIC_SPECIES
Y 88.91 Y.upf
Ni 58.69 Ni.upf
Ba 137.33 Ba.upf
CELL_PARAMETERS angstrom
-2.184 -0.975 4.764
-5.292 -0.430 0.467
-2.211 -4.747 0.997
ATOMIC_POSITIONS crystal
Y 0.250 0.250 0.250
Y 0.750 0.750 0.750
Ni 0.000 0.000 0.000
Ba 0.500 0.500 0.500
```

Values from the calculation:
N(E_F): 2.94 states/eV/cell
M_tot: 0.00 μB/cell

#three
A relaxed BaY2Ni crystal. Source: Alexandria via LeMat-Bulk, functional GGA-PBE. Values from VASP.

Quantum ESPRESSO input file:
```
&SYSTEM
  ibrav = 0, nat = 4, ntyp = 3
/
ATOMIC_SPECIES
Ba 137.33 Ba.upf
Ni 58.69 Ni.upf
Y 88.91 Y.upf
CELL_PARAMETERS angstrom
-2.545 0.399 4.860
1.323 -3.434 4.088
2.733 1.874 4.390
ATOMIC_POSITIONS crystal
Ba 0.500 0.500 0.500
Ni 0.750 0.750 0.750
Y 0.000 0.000 0.000
Y 0.250 0.250 0.250
```

Values from the calculation:
N(E_F): 6.84 states/eV/cell
M_tot: 0.00 μB/cell

Which of them is the most stable? Correct choice: #two.